# 1
Density functional theory data (GGA-PBE) for an optimized crystal structure of PmPrNd2Ho2.

Output
density of states at the Fermi level = 1.5071 states/eV per atom
energy = -4.640 eV per atom
space group = Pnnm
spin magnetization = 0.0 Bohr magnetons per cell
V = 33.7 Å³/atom
formation energy = 0.0639 eV/atom

a b c (Å): 7.075 9.949 5.749
angles (deg): 90.00 90.00 90.00
Atoms (fractional coordinates):
Pm 0.000 0.000 0.000
Pm 0.500 0.500 0.500
Pr 0.000 0.500 0.500
Pr 0.500 0.000 0.000
Nd 0.249 0.167 0.500
Nd 0.251 0.667 0.000
Nd 0.749 0.333 0.000
Nd 0.751 0.833 0.500
Ho 0.250 0.334 0.000
Ho 0.250 0.834 0.500
Ho 0.750 0.166 0.500
Ho 0.750 0.666 0.000

---

# 2
Density functional theory data (GGA-PBE) for an optimized crystal structure of BaTlAs4.

Output
density of states at the Fermi level = 0.7677 states/eV per atom
energy = -4.062 eV per atom
space group = F-43m
spin magnetization = 0.0 Bohr magnetons per cell
V = 25.5 Å³/atom
formation energy = -0.2477 eV/atom

a b c (Å): 6.002 6.002 6.002
angles (deg): 60.00 60.00 60.00
Atoms (fractional coordinates):
Ba 0.000 0.000 0.000
Tl 0.750 0.750 0.750
As 0.385 0.385 0.385
As 0.385 0.385 0.845
As 0.385 0.845 0.385
As 0.845 0.385 0.385

---

# 3
Density functional theory data (GGA-PBE) for an optimized crystal structure of Ag3POs.

Output
density of states at the Fermi level = 0.8649 states/eV per atom
energy = -3.174 eV per atom
space group = Pm-3m
spin magnetization = 3.5 Bohr magnetons per cell
V = 26.1 Å³/atom
formation energy = 1.8642 eV/atom

a b c (Å): 5.070 5.070 5.070
angles (deg): 90.00 90.00 90.00
Atoms (fractional coordinates):
Ag 0.000 0.000 0.500
Ag 0.000 0.500 0.000
Ag 0.500 0.000 0.000
P 0.500 0.500 0.500
Os 0.000 0.000 0.000

---

# 4
Density functional theory data (GGA-PBE) for an optimized crystal structure of DyHfMg.

Output
density of states at the Fermi level = 1.0342 states/eV per atom
energy = -5.160 eV per atom
space group = P3m1
spin magnetization = 0.0 Bohr magnetons per cell
V = 24.9 Å³/atom
formation energy = 0.2236 eV/atom

a b c (Å): 5.200 5.200 3.185
angles (deg): 90.00 90.00 120.00
Atoms (fractional coordinates):
Dy 0.000 0.000 0.000
Hf 0.667 0.333 0.450
Mg 0.333 0.667 0.656

---

# 5
Density functional theory data (GGA-PBE) for an optimized crystal structure of MgUTl2.

Output
density of states at the Fermi level = 1.5137 states/eV per atom
energy = -4.165 eV per atom
space group = P4/mmm
spin magnetization = 2.8 Bohr magnetons per cell
V = 25.8 Å³/atom
formation energy = 0.2384 eV/atom

a b c (Å): 4.800 4.800 4.484
angles (deg): 90.00 90.00 90.00
Atoms (fractional coordinates):
Mg 0.000 0.000 0.000
U 0.500 0.500 0.000
Tl 0.000 0.500 0.500
Tl 0.500 0.000 0.500

---

# 6
Density functional theory data (GGA-PBE) for an optimized crystal structure of Ag2PdPt2Au4.

Output
density of states at the Fermi level = 1.0508 states/eV per atom
energy = -3.965 eV per atom
space group = P3m1
spin magnetization = 0.0 Bohr magnetons per cell
V = 17.3 Å³/atom
formation energy = 0.0450 eV/atom

a b c (Å): 2.840 2.840 22.298
angles (deg): 90.00 90.00 120.00
Atoms (fractional coordinates):
Ag 0.000 0.000 0.000
Ag 0.333 0.667 0.340
Pd 0.333 0.667 0.678
Pt 0.000 0.000 0.575
Pt 0.000 0.000 0.781
Au 0.000 0.000 0.228
Au 0.000 0.000 0.451
Au 0.333 0.667 0.112
Au 0.333 0.667 0.890